A plane-wave DFT calculation with PBE was carried out for crystalline YBeGaFe at its relaxed geometry.

As for the energy above the lowest structure with this stoichiometry: 69 meV/atom. For the total magnetic moment, the calculation gives 8.25 μB per cell.

It has space group F-43m (No. 216), with a = 6.3096 Å, b = 6.3096 Å, c = 6.3096 Å, α = 90.00°, β = 90.00° and γ = 90.00°. The distinct sites, in fractional coordinates, are Y at (0.0000, 0.0000, 0.0000), Be at (0.2500, 0.2500, 0.2500), Ga at (0.0000, 0.0000, 0.5000) and Fe at (0.2500, 0.2500, 0.7500).